The following is a DFT calculation (PBE) of an optimized crystal structure of Eu2CdBi.

It has space group P4/mmm (No. 123), with a = 5.383 Å, b = 5.383 Å, c = 4.372 Å, α = 90.00°, β = 90.00° and γ = 90.00°. The inequivalent atoms are Eu at (0.000, 0.500, 0.000), Cd at (0.000, 0.000, 0.500) and Bi at (0.500, 0.500, 0.500).

Its relative energy among the computed polymorphs is 0.0 meV per atom. The final energy comes out at -6.9651 eV/atom. As for the crystal system: tetragonal. The value obtained for the formation energy is -629 meV per atom.